Density functional theory data (PBE) for a geometry-optimized PrNdEuTh structure.

Values from the calculation:
The energy relative to the elements is 226 meV/atom. The calculation puts the final energy at -6.58 eV per atom. For the density of states at the Fermi level, the calculation gives 9.33 states/eV/f.u. For the calculated volume, the calculation gives 35.61 Å³ per atom. The total magnetization is 6.50 μB/f.u. The space group is No. 216.

```
PrNdEuTh
1.0
5.8620 0.0000 0.0000
2.9310 5.0767 0.0000
2.9310 1.6922 4.7863
Th Pr Eu Nd
1 1 1 1
direct
0.5000 0.5000 0.5000
0.7500 0.7500 0.7500
0.0000 0.0000 0.0000
0.2500 0.2500 0.2500
```